1.
Compound: LaYTe2
Source: Alexandria via LeMat-Bulk
Functional: GGA-PBEsol
Structure: relaxed

a b c (Å): 4.3631 4.3631 7.7501
angles (deg): 73.65 73.65 60.00
Fractional coordinates of all 4 atoms:
Y (0.5000, 0.5000, 0.5000)
Te (0.7555, 0.7555, 0.7335)
Te (0.2445, 0.2445, 0.2665)
La (0.0000, 0.0000, 0.0000)

Computed properties:
Total magnetization, μB per formula unit: 0.00
Energy relative to the lowest polymorph listed for this composition, eV/f.u.: 0.00
ΔE_f (raw), eV per atom: -1.49
Crystal system: trigonal

***

2.
Compound: LaYTe2
Source: Alexandria via LeMat-Bulk
Functional: GGA-PBEsol
Structure: relaxed

a b c (Å): 5.3752 5.3752 5.3752
angles (deg): 60.00 60.00 60.00
Fractional coordinates of all 4 atoms:
La (0.5000, 0.5000, 0.5000)
Te (0.7500, 0.7500, 0.7500)
Te (0.2500, 0.2500, 0.2500)
Y (0.0000, 0.0000, 0.0000)

Computed properties:
Total magnetization, μB per formula unit: 0.14
Energy relative to the lowest polymorph listed for this composition, eV/f.u.: 0.49
ΔE_f (raw), eV per atom: -1.37
Crystal system: cubic

***

3.
Compound: LaY2Te
Source: Alexandria via LeMat-Bulk
Functional: GGA-PBEsol
Structure: relaxed

a b c (Å): 3.7721 5.5944 6.6875
angles (deg): 114.73 106.38 90.00
Fractional coordinates of all 4 atoms:
La (0.5000, 0.0000, 0.0000)
Te (0.0000, 0.5000, 0.0000)
Y (0.7148, 0.7148, 0.4296)
Y (0.2852, 0.2852, 0.5704)

Computed properties:
Total magnetization, μB per formula unit: 0.00
ΔE_f (raw), eV per atom: -0.61
Crystal system: orthorhombic

***

4.
Compound: LaY2Te
Source: Alexandria via LeMat-Bulk
Functional: GGA-PBEsol
Structure: relaxed

a b c (Å): 4.7236 4.8036 4.8036
angles (deg): 90.00 90.00 90.00
Fractional coordinates of all 4 atoms:
La (0.5000, 0.0000, 0.0000)
Te (0.5000, 0.5000, 0.5000)
Y (0.0000, 0.5000, 0.0000)
Y (0.0000, 0.0000, 0.5000)

Computed properties:
Total magnetization, μB per formula unit: 0.00
ΔE_f (raw), eV per atom: -0.55
Crystal system: tetragonal

***

5.
Compound: LaY2Te
Source: Alexandria via LeMat-Bulk
Functional: GGA-PBEsol
Structure: relaxed

a b c (Å): 3.8166 5.1615 6.4068
angles (deg): 90.00 105.38 90.00
Fractional coordinates of all 4 atoms:
La (0.5000, 0.5000, 0.0000)
Te (0.0000, 0.5000, 0.5000)
Y (0.8546, 0.0000, 0.7279)
Y (0.1454, 0.0000, 0.2721)

Computed properties:
Total magnetization, μB per formula unit: 0.00
ΔE_f (raw), eV per atom: -0.49
Crystal system: monoclinic

***

6.
Compound: LaYTe2
Source: Alexandria via LeMat-Bulk
Functional: GGA-PBEsol
Structure: relaxed

a b c (Å): 4.4124 4.4166 6.2485
angles (deg): 90.00 90.00 90.00
Fractional coordinates of all 4 atoms:
Y (0.3750, 0.0000, 0.0000)
Te (0.8750, 0.5000, 0.0000)
Te (0.3750, 0.0000, 0.5000)
La (0.8750, 0.5000, 0.5000)

Computed properties:
Total magnetization, μB per formula unit: 0.00
Energy relative to the lowest polymorph listed for this composition, eV/f.u.: 0.15
ΔE_f (raw), eV per atom: -1.46
Crystal system: tetragonal